[1]
Entry from Alexandria: a relaxed structure of TmThTlIr (PBE).

a b c (Å): 8.283 8.283 8.283
angles (deg): 28.51 28.51 28.51
Positions (direct):
Tm 0.000 0.000 0.000
Th 0.206 0.206 0.206
Tl 0.765 0.765 0.765
Ir 0.604 0.604 0.604

Properties
Its density is 11572 kg/m³. Its space group is R3m, No. 160. For the formation energy, the calculation gives -568 meV per atom.



[2]
Entry from Alexandria: a relaxed structure of Sr2CeTc2N6 (PBE).

a b c (Å): 6.105 6.105 6.996
angles (deg): 118.45 118.45 59.61
Positions (direct):
Sr 0.213 0.213 0.178
Sr 0.787 0.787 0.822
Ce 0.000 0.000 0.500
Tc 0.468 0.468 0.800
Tc 0.532 0.532 0.200
N 0.190 0.683 0.211
N 0.265 0.265 0.618
N 0.317 0.810 0.789
N 0.683 0.190 0.211
N 0.735 0.735 0.382
N 0.810 0.317 0.789

Properties
The calculation puts the energy relative to the elements, uncorrected at -653 meV per atom. Its density is 5259 kg/m³. Its space group is C2/m, No. 12.



[3]
Entry from Alexandria: a relaxed structure of La5DyY2Tm (PBE).

a b c (Å): 9.758 9.758 9.758
angles (deg): 121.29 121.29 87.79
Positions (direct):
La 0.000 0.000 0.000
La 0.063 0.563 0.903
La 0.160 0.063 0.500
La 0.340 0.840 0.903
La 0.437 0.340 0.500
La 0.500 0.500 0.000
La 0.563 0.660 0.500
La 0.660 0.160 0.097
La 0.840 0.937 0.500
La 0.937 0.437 0.097
Dy 0.250 0.250 0.000
Dy 0.750 0.750 0.000
Y 0.108 0.392 0.500
Y 0.392 0.892 0.283
Y 0.608 0.108 0.717
Y 0.892 0.608 0.500
Tm 0.250 0.750 0.500
Tm 0.750 0.250 0.500

Properties
Its density is 6210 kg/m³. Its space group is I4/mcm, No. 140. For the formation energy, the calculation gives 315 meV per atom.



[4]
Entry from Alexandria: a relaxed structure of PmYMgCd (PBE).

a b c (Å): 5.388 5.388 5.388
angles (deg): 60.00 60.00 60.00
Positions (direct):
Pm 0.000 0.000 0.000
Y 0.500 0.500 0.500
Mg 0.250 0.250 0.250
Cd 0.750 0.750 0.750

Properties
For the energy above the most stable polymorph in this dataset, the calculation gives 0.0 meV per atom. Its density is 5564 kg/m³. Its space group is F-43m, No. 216. For the formation energy, the calculation gives -220 meV per atom.



[5]
Entry from Alexandria: a relaxed structure of ScCd2C (PBE).

a b c (Å): 6.214 6.214 6.214
angles (deg): 97.75 97.75 136.92
Positions (direct):
Sc 0.000 0.000 0.000
Sc 0.750 0.250 0.500
Cd 0.225 0.625 0.100
Cd 0.375 0.475 0.600
Cd 0.525 0.125 0.900
Cd 0.875 0.775 0.400
C 0.250 0.750 0.500
C 0.500 0.500 0.000

Properties
Its density is 6138 kg/m³. Its space group is I-42d, No. 122. For the formation energy, the calculation gives 438 meV per atom.



[6]
Entry from Alexandria: a relaxed structure of Cs2InCuN (PBE).

a b c (Å): 6.597 6.597 5.002
angles (deg): 90.00 90.00 90.00
Positions (direct):
Cs 0.000 0.500 0.000
Cs 0.500 0.000 0.000
In 0.000 0.000 0.500
Cu 0.000 0.000 0.000
N 0.500 0.500 0.500

Properties
The calculation puts the energy relative to the elements, uncorrected at 927 meV per atom. Its density is 3494 kg/m³. Its space group is P4/mmm, No. 123.